Compound: CsLaMgSe3
Source: Alexandria via LeMat-Bulk
Functional: GGA-PBE
Structure: relaxed

Calculated values
Total energy (eV per atom): -4.591
Calculated volume (A^3/atom): 36.93
E_form (uncorrected) (eV per atom): -1.6191
Space group: P2_1/m (11)

Unit cell a=4.4635 b=9.8853 c=10.5567 alpha=107.95 beta=90.00 gamma=90.00
Atoms (fractional coordinates):
1 La 0.7500 0.3325 0.8588
2 La 0.2500 0.6675 0.1412
3 Mg 0.2500 0.0830 0.6071
4 Mg 0.7500 0.9170 0.3929
5 Se 0.7500 0.1855 0.5395
6 Se 0.2500 0.8145 0.4605
7 Se 0.2500 0.5325 0.8483
8 Se 0.7500 0.4675 0.1517
9 Se 0.7500 0.8772 0.1434
10 Se 0.2500 0.1228 0.8566
11 Cs 0.7500 0.7946 0.7694
12 Cs 0.2500 0.2054 0.2306

---

Compound: TaMn2Pb
Source: Alexandria via LeMat-Bulk
Functional: GGA-PBE
Structure: relaxed

Calculated values
Total energy (eV per atom): -8.113
Calculated volume (A^3/atom): 16.83
Energy of formation from the pure elements (eV/atom): 0.362
Space group: P4/mmm (123)

Unit cell a=4.4140 b=4.4140 c=3.4559 alpha=90.00 beta=90.00 gamma=90.04
Site moments in Bohr magnetons follow the coordinates.
Atoms (fractional coordinates):
1 Mn 0.0000 0.0000 0.0000  2.78
2 Mn 0.5000 0.5000 0.0000  2.78
3 Ta 0.0000 0.5000 0.5000  -0.77
4 Pb 0.5000 0.0000 0.5000  -0.05

---

Compound: Tb6PrSm2Ho
Source: Alexandria via LeMat-Bulk
Functional: GGA-PBE
Structure: relaxed

Calculated values
Total energy (eV per atom): -4.541
Calculated volume (A^3/atom): 33.05
Energy of formation from the pure elements (eV/atom): 0.117
Space group: C2/c (15)

Unit cell a=9.6902 b=8.8291 c=8.8291 alpha=117.93 beta=94.12 gamma=94.12
Atoms (fractional coordinates):
1 Tb 0.3805 0.5076 0.2937
2 Tb 0.8805 0.2937 0.5076
3 Tb 0.1195 0.7063 0.4924
4 Tb 0.0568 0.1229 0.7449
5 Tb 0.9432 0.8771 0.2551
6 Tb 0.1852 0.5692 0.0185
7 Tb 0.5568 0.7449 0.1229
8 Tb 0.3148 0.9815 0.4308
9 Tb 0.4432 0.2551 0.8771
10 Tb 0.6852 0.0185 0.5692
11 Tb 0.6195 0.4924 0.7063
12 Tb 0.8148 0.4308 0.9815
13 Ho 0.2500 0.4083 0.5917
14 Ho 0.7500 0.5917 0.4083
15 Sm 0.4559 0.8026 0.6999
16 Sm 0.5441 0.1974 0.3001
17 Sm 0.0441 0.3001 0.1974
18 Sm 0.9559 0.6999 0.8026
19 Pr 0.7500 0.0212 0.9788
20 Pr 0.2500 0.9788 0.0212

---

Compound: Li2FeSb
Source: Alexandria via LeMat-Bulk
Functional: GGA-PBE
Structure: relaxed

Calculated values
Total energy (eV per atom): -3.886
Calculated volume (A^3/atom): 19.41
E_form (uncorrected) (eV per atom): 0.2170
Space group: R3m (160)

Unit cell a=9.0356 b=9.0356 c=9.0356 alpha=20.29 beta=20.29 gamma=20.29
Site moments in Bohr magnetons follow the coordinates.
Atoms (fractional coordinates):
1 Li 0.9892 0.9892 0.9892  -0.03
2 Li 0.7540 0.7540 0.7540  0.00
3 Fe 0.2454 0.2454 0.2454  1.99
4 Sb 0.5115 0.5115 0.5115  -0.11

---

Compound: FeSb3Pt12
Source: Alexandria via LeMat-Bulk
Functional: GGA-PBE
Structure: relaxed

Calculated values
Total energy (eV per atom): -6.007
Calculated volume (A^3/atom): 16.59
E_form (uncorrected) (eV per atom): -0.1746
Space group: P4/mmm (123)

Unit cell a=4.0294 b=4.0294 c=16.3451 alpha=90.00 beta=90.00 gamma=90.00
Site moments in Bohr magnetons follow the coordinates.
Atoms (fractional coordinates):
1 Sb 0.0001 0.0000 0.2366  -0.01
2 Sb 0.9999 0.0000 0.7634  -0.01
3 Sb 0.0000 0.0000 0.5000  -0.01
4 Pt 0.5001 0.5000 0.2497  -0.01
5 Pt 0.5000 0.5000 0.5000  -0.03
6 Pt 0.5000 0.0000 0.3737  -0.03
7 Pt 0.5000 0.0000 0.8843  0.16
8 Pt 0.5000 0.0000 0.6263  -0.03
9 Pt 0.5000 0.0000 0.1157  0.16
10 Pt 0.5000 0.5000 0.0000  0.28
11 Pt 0.0000 0.5000 0.6263  -0.03
12 Pt 0.0000 0.5000 0.8843  0.16
13 Pt 0.0000 0.5000 0.1157  0.16
14 Pt 0.4999 0.5000 0.7503  -0.01
15 Pt 0.0000 0.5000 0.3737  -0.03
16 Fe 0.0000 0.0000 0.0000  3.30

---

Compound: AcTm2SbN4
Source: Alexandria via LeMat-Bulk
Functional: GGA-PBE
Structure: relaxed

Calculated values
Total energy (eV per atom): -7.066
Calculated volume (A^3/atom): 16.52
E_form (uncorrected) (eV per atom): -0.7568
Space group: Cmcm (63)

Unit cell a=3.7851 b=6.2618 c=11.7004 alpha=90.00 beta=90.00 gamma=107.59
Atoms (fractional coordinates):
1 Tm 0.6267 0.2535 0.4607
2 Tm 0.6267 0.2535 0.0393
3 Tm 0.3733 0.7465 0.5393
4 Tm 0.3733 0.7465 0.9607
5 N 0.2752 0.5504 0.3795
6 N 0.0000 0.0000 0.5000
7 N 0.5782 0.1564 0.2500
8 N 0.7248 0.4496 0.6205
9 N 0.2752 0.5504 0.1205
10 N 0.7248 0.4496 0.8795
11 N 0.4218 0.8436 0.7500
12 N 0.0000 0.0000 0.0000
13 Sb 0.1584 0.3168 0.2500
14 Sb 0.8416 0.6832 0.7500
15 Ac 0.8997 0.7993 0.2500
16 Ac 0.1003 0.2007 0.7500

---

Compound: Ca3YB
Source: Alexandria via LeMat-Bulk
Functional: GGA-PBE
Structure: relaxed

Calculated values
Total energy (eV per atom): -2.029
Offset from the most stable computed form (meV per atom): 1424
Calculated volume (A^3/atom): 45.53
Energy of formation from the pure elements (eV/atom): 1.801
Space group: Pm-3m (221)

Unit cell a=6.1061 b=6.1061 c=6.1061 alpha=90.00 beta=90.00 gamma=90.00
Site moments in Bohr magnetons follow the coordinates.
Atoms (fractional coordinates):
1 Ca 0.5000 0.0000 0.0000  0.11
2 Ca 0.0000 0.0000 0.5000  0.23
3 Ca 0.0000 0.5000 0.0000  0.18
4 Y 0.0000 0.0000 0.0000  0.98
5 B 0.5000 0.5000 0.5000  -0.28

---

Compound: Ca2LaHgO
Source: Alexandria via LeMat-Bulk
Functional: GGA-PBE
Structure: relaxed

Calculated values
Total energy (eV per atom): -4.192
Calculated volume (A^3/atom): 24.05
E_form (uncorrected) (eV per atom): -1.3537
Space group: P4/mmm (123)

Unit cell a=4.8344 b=4.8344 c=5.1456 alpha=90.00 beta=90.00 gamma=90.00
Atoms (fractional coordinates):
1 La 0.0000 0.0000 0.5000
2 Hg 0.5000 0.5000 0.5000
3 Ca 0.5000 0.0000 0.0000
4 Ca 0.0000 0.5000 0.0000
5 O 0.0000 0.0000 0.0000

---

Compound: Sr3ZnPd2
Source: Alexandria via LeMat-Bulk
Functional: GGA-PBE
Structure: relaxed

Calculated values
Total energy (eV per atom): -3.306
Calculated volume (A^3/atom): 29.31
Energy of formation from the pure elements (eV/atom): -0.521
Space group: Pnma (62)

Unit cell a=4.4540 b=12.6604 c=12.4746 alpha=90.00 beta=90.00 gamma=90.00
Atoms (fractional coordinates):
1 Pd 0.7500 0.9850 0.6973
2 Pd 0.7500 0.5150 0.1973
3 Pd 0.2500 0.4850 0.8027
4 Pd 0.2500 0.6817 0.4655
5 Pd 0.2500 0.0150 0.3027
6 Pd 0.2500 0.8183 0.9655
7 Pd 0.7500 0.3183 0.5345
8 Pd 0.7500 0.1817 0.0345
9 Sr 0.2500 0.8069 0.6999
10 Sr 0.7500 0.3069 0.8001
11 Sr 0.2500 0.4415 0.3777
12 Sr 0.7500 0.1931 0.3001
13 Sr 0.7500 0.6211 0.9401
14 Sr 0.2500 0.6931 0.1999
15 Sr 0.2500 0.3789 0.0599
16 Sr 0.7500 0.5585 0.6223
17 Sr 0.2500 0.0585 0.8777
18 Sr 0.7500 0.8789 0.4401
19 Sr 0.2500 0.1211 0.5599
20 Sr 0.7500 0.9415 0.1223
21 Zn 0.2500 0.3699 0.6272
22 Zn 0.7500 0.6301 0.3728
23 Zn 0.7500 0.8699 0.8728
24 Zn 0.2500 0.1301 0.1272

---

Compound: ErTlSn2Cl8
Source: Alexandria via LeMat-Bulk
Functional: GGA-PBE
Structure: relaxed

Calculated values
Total energy (eV per atom): -3.899
Calculated volume (A^3/atom): 33.11
E_form (uncorrected) (eV per atom): -1.4234
Space group: P-1 (2)

Unit cell a=6.8853 b=6.4506 c=8.9713 alpha=88.60 beta=86.48 gamma=87.96
Atoms (fractional coordinates):
1 Cl 0.1369 0.7479 0.7878
2 Cl 0.1767 0.7840 0.2059
3 Cl 0.8631 0.2521 0.2122
4 Cl 0.6898 0.7653 0.0369
5 Cl 0.3102 0.2347 0.9631
6 Cl 0.6347 0.7207 0.4612
7 Cl 0.3653 0.2793 0.5388
8 Cl 0.8233 0.2160 0.7941
9 Tl 0.0000 0.0000 0.5000
10 Er 0.0000 0.0000 0.0000
11 Sn 0.5168 0.5074 0.2485
12 Sn 0.4832 0.4926 0.7515

---

Compound: TlTe2Pd2
Source: Alexandria via LeMat-Bulk
Functional: GGA-PBE
Structure: relaxed

Calculated values
Total energy (eV per atom): -4.083
Offset from the most stable computed form (meV per atom): 1
Calculated volume (A^3/atom): 26.03
E_form (uncorrected) (eV per atom): -0.2759
Space group: P-1 (2)

Unit cell a=6.8266 b=6.9219 c=8.0186 alpha=70.83 beta=54.25 gamma=57.87
Atoms (fractional coordinates):
1 Te 0.1847 0.1051 0.2334
2 Te 0.5685 0.6259 0.6770
3 Te 0.4315 0.3741 0.3230
4 Te 0.8153 0.8949 0.7666
5 Pd 0.3584 0.7354 0.4456
6 Pd 0.4237 0.7245 0.0425
7 Pd 0.6416 0.2646 0.5544
8 Pd 0.5763 0.2755 0.9575
9 Tl 0.8924 0.7734 0.1766
10 Tl 0.1076 0.2266 0.8234

---

Compound: LiYHoTe3
Source: Alexandria via LeMat-Bulk
Functional: GGA-PBE
Structure: relaxed

Calculated values
Total energy (eV per atom): -4.959
Calculated volume (A^3/atom): 28.54
E_form (uncorrected) (eV per atom): -1.2285
Space group: P2_1/m (11)

Unit cell a=4.2103 b=8.8612 c=9.4563 alpha=103.86 beta=90.00 gamma=90.00
Atoms (fractional coordinates):
1 Li 0.2500 0.0853 0.5851
2 Li 0.7500 0.9147 0.4149
3 Te 0.2500 0.7636 0.5038
4 Te 0.7500 0.4233 0.1731
5 Te 0.7500 0.2364 0.4962
6 Te 0.7500 0.9104 0.1231
7 Te 0.2500 0.0896 0.8769
8 Te 0.2500 0.5767 0.8269
9 Y 0.2500 0.1863 0.2319
10 Y 0.7500 0.8137 0.7681
11 Ho 0.7500 0.3335 0.8367
12 Ho 0.2500 0.6665 0.1633

---

Compound: PmGdDyAg
Source: Alexandria via LeMat-Bulk
Functional: GGA-PBE
Structure: relaxed

Calculated values
Total energy (eV per atom): -6.490
Calculated volume (A^3/atom): 27.61
Energy of formation from the pure elements (eV/atom): 0.081
Space group: F-43m (216)

Unit cell a=5.3853 b=5.3853 c=5.3853 alpha=60.00 beta=60.00 gamma=60.00
Site moments in Bohr magnetons follow the coordinates.
Atoms (fractional coordinates):
1 Dy 0.5000 0.5000 0.5000  0.48
2 Gd 0.0000 0.0000 0.0000  7.42
3 Ag 0.7500 0.7500 0.7500  0.03
4 Pm 0.2500 0.2500 0.2500  0.59

---

Compound: PaCdGeAu
Source: Alexandria via LeMat-Bulk
Functional: GGA-PBE
Structure: relaxed

Calculated values
Total energy (eV per atom): -4.819
Calculated volume (A^3/atom): 21.43
Energy of formation from the pure elements (eV/atom): -0.243
Space group: F-43m (216)

Unit cell a=4.9490 b=4.9490 c=4.9490 alpha=60.00 beta=60.00 gamma=60.00
Atoms (fractional coordinates):
1 Au 0.0000 0.0000 0.0000
2 Ge 0.5000 0.5000 0.5000
3 Pa 0.7500 0.7500 0.7500
4 Cd 0.2500 0.2500 0.2500

---

Compound: LiTlFe
Source: Alexandria via LeMat-Bulk
Functional: GGA-PBE
Structure: relaxed

Calculated values
Total energy (eV per atom): -3.888
Offset from the most stable computed form (meV per atom): 4
Calculated volume (A^3/atom): 17.16
Energy of formation from the pure elements (eV/atom): 0.359
Space group: P3m1 (156)

Unit cell a=4.5116 b=4.5116 c=2.9206 alpha=90.00 beta=90.00 gamma=120.00
Site moments in Bohr magnetons follow the coordinates.
Atoms (fractional coordinates):
1 Tl 0.3333 0.6667 0.6400  -0.07
2 Li 0.6667 0.3333 0.3535  -0.03
3 Fe 0.0000 0.0000 0.0065  2.70

---

Compound: Be2MoPd
Source: Alexandria via LeMat-Bulk
Functional: GGA-PBE
Structure: relaxed

Calculated values
Total energy (eV per atom): -5.904
Offset from the most stable computed form (meV per atom): 212
Calculated volume (A^3/atom): 11.92
Energy of formation from the pure elements (eV/atom): -0.035
Space group: Fm-3m (225)

Unit cell a=4.0705 b=4.0705 c=4.0705 alpha=60.00 beta=60.00 gamma=60.00
Site moments in Bohr magnetons follow the coordinates.
Atoms (fractional coordinates):
1 Be 0.2500 0.2500 0.2500  0.01
2 Be 0.7500 0.7500 0.7500  0.01
3 Pd 0.5000 0.5000 0.5000  0.20
4 Mo 0.0000 0.0000 0.0000  1.66

---

Compound: Ac2SiS5
Source: Alexandria via LeMat-Bulk
Functional: GGA-PBE
Structure: relaxed

Calculated values
Total energy (eV per atom): -5.757
Offset from the most stable computed form (meV per atom): 184
Calculated volume (A^3/atom): 24.70
E_form (uncorrected) (eV per atom): -1.4728
Space group: I4mm (107)

Unit cell a=6.8337 b=6.8337 c=6.4224 alpha=122.14 beta=122.14 gamma=90.00
Atoms (fractional coordinates):
1 Ac 0.2512 0.7512 0.5024
2 Ac 0.7512 0.2512 0.5024
3 S 0.7952 0.7952 0.0460
4 S 0.7952 0.2508 0.0460
5 S 0.2508 0.7952 0.0460
6 S 0.2508 0.2508 0.0460
7 S 0.7179 0.7179 0.4359
8 Si 0.9646 0.9646 0.9292

---

Compound: Dy3ScCo8
Source: Alexandria via LeMat-Bulk
Functional: GGA-PBE
Structure: relaxed

Calculated values
Total energy (eV per atom): -6.649
Calculated volume (A^3/atom): 14.92
Energy of formation from the pure elements (eV/atom): -0.234
Space group: R3m (160)

Unit cell a=5.0178 b=5.0178 c=8.7060 alpha=73.25 beta=73.25 gamma=60.00
Site moments in Bohr magnetons follow the coordinates.
Atoms (fractional coordinates):
1 Co 0.9376 0.9376 0.6828  1.16
2 Co 0.1880 0.1880 0.4360  1.18
3 Co 0.4420 0.9376 0.6828  1.16
4 Co 0.4368 0.9344 0.1921  1.13
5 Co 0.9344 0.4368 0.1921  1.13
6 Co 0.6874 0.6874 0.9378  1.10
7 Co 0.9376 0.4420 0.6828  1.16
8 Co 0.4368 0.4368 0.1921  1.13
9 Dy 0.3752 0.3752 0.8744  -0.36
10 Dy 0.9984 0.9984 0.0049  -0.35
11 Dy 0.5013 0.5013 0.4961  -0.35
12 Sc 0.8747 0.8747 0.3760  -0.30

---

Compound: HoLuZnPb
Source: Alexandria via LeMat-Bulk
Functional: GGA-PBE
Structure: relaxed

Calculated values
Total energy (eV per atom): -3.838
Calculated volume (A^3/atom): 24.63
Energy of formation from the pure elements (eV/atom): -0.318
Space group: F-43m (216)

Unit cell a=5.1845 b=5.1845 c=5.1845 alpha=60.00 beta=60.00 gamma=60.00
Atoms (fractional coordinates):
1 Pb 0.5000 0.5000 0.5000
2 Ho 0.7500 0.7500 0.7500
3 Lu 0.2500 0.2500 0.2500
4 Zn 0.0000 0.0000 0.0000

---

Compound: Ac2NdPt2Br2
Source: Alexandria via LeMat-Bulk
Functional: GGA-PBE
Structure: relaxed

Calculated values
Total energy (eV per atom): -5.239
Calculated volume (A^3/atom): 34.51
E_form (uncorrected) (eV per atom): -1.1801
Space group: I4/mmm (139)

Unit cell a=5.4185 b=5.4185 c=9.0760 alpha=107.37 beta=107.37 gamma=90.00
Atoms (fractional coordinates):
1 Ac 0.3865 0.3865 0.7730
2 Ac 0.6135 0.6135 0.2270
3 Br 0.8040 0.8040 0.6080
4 Br 0.1960 0.1960 0.3920
5 Pt 0.0000 0.5000 0.0000
6 Pt 0.5000 0.0000 0.0000
7 Nd 0.0000 0.0000 0.0000

---

In the order shown, the computed theoretical density values come out to 3.99; 12.28; 7.84; 4.10; 17.28; 9.33; 1.60; 6.02; 5.11; 3.73; 8.58; 6.24; 8.61; 11.88; 8.62; 7.67; 5.40; 9.31; 10.32; 7.89 g/cm3.
In the order shown, the computed magnetization values come out to 0.00; 4.61; 0.00; 1.69; 3.99; 0.00; 2.36; 0.00; 0.00; 0.00; 0.00; 0.00; 9.40; 0.00; 2.57; 2.07; 0.00; 7.49; 0.00; 0.00 μB/f.u..